Material: TlTcN3
Method: DFT, PBE
State: relaxed

The calculation puts the formation energy from raw total energies at 1451 kJ/mol of formula units. The density comes out at 8.2 Mg/m³.

abc: 4.114 4.114 4.114
angles: 90.00 90.00 90.00
Space group Pm-3m (No. 221)
One atom of each set of equivalent atoms:
Tl1 0.000 0.000 0.000 x1
Tc1 0.500 0.500 0.500 x1
N1 0.000 0.000 0.500 x3

Material: Tl3TcN
Method: DFT, PBE
State: relaxed

The calculation puts the energy above the most stable polymorph in this dataset at 23 meV/atom. The calculation puts the formation energy from raw total energies at 653 kJ/mol of formula units. The density comes out at 10.6 Mg/m³.

abc: 4.841 4.841 4.841
angles: 90.00 90.00 90.00
Space group Pm-3m (No. 221)
One atom of each set of equivalent atoms:
Tl1 0.000 0.000 0.500 x3
Tc1 0.500 0.500 0.500 x1
N1 0.000 0.000 0.000 x1

Material: TlTcN3
Method: DFT, PBE
State: relaxed

The calculation puts the formation energy from raw total energies at 426 kJ/mol of formula units. The density comes out at 9.1 Mg/m³.

abc: 3.973 3.973 3.973
angles: 90.00 90.00 90.00
Space group Pm-3m (No. 221)
One atom of each set of equivalent atoms:
Tl1 0.000 0.000 0.000 x1
Tc1 0.500 0.500 0.500 x1
N1 0.000 0.500 0.500 x3

Material: TlTc2N
Method: DFT, PBE
State: relaxed

The calculation puts the energy above the most stable polymorph in this dataset at 0 meV/atom. The calculation puts the formation energy from raw total energies at 180 kJ/mol of formula units. The density comes out at 10.3 Mg/m³.

abc: 3.2230 3.2230 22.2250
angles: 90.00 90.00 120.00
Space group R-3m (No. 166, hexagonal axes)
One atom of each set of equivalent atoms:
Tl1 0.0000 0.0000 0.0000 x3
Tc1 0.0000 0.0000 0.1237 x6
N1 0.0000 0.0000 0.5000 x3

Material: TlTc3N
Method: DFT, PBE
State: relaxed

The calculation puts the energy above the most stable polymorph in this dataset at 3370 meV/atom. The calculation puts the formation energy from raw total energies at 1766 kJ/mol of formula units. The density comes out at 6.1 Mg/m³.

abc: 5.180 5.180 5.180
angles: 90.00 90.00 90.00
Space group Pm-3m (No. 221)
One atom of each set of equivalent atoms:
Tl1 0.000 0.000 0.000 x1
Tc1 0.000 0.000 0.500 x3
N1 0.500 0.500 0.500 x1

Material: Tl3TcN
Method: DFT, PBE
State: relaxed

The calculation puts the energy above the most stable polymorph in this dataset at 0 meV/atom. The calculation puts the formation energy from raw total energies at 642 kJ/mol of formula units. The density comes out at 7.9 Mg/m³.

abc: 5.349 5.349 5.349
angles: 90.00 90.00 90.00
Space group Pm-3m (No. 221)
One atom of each set of equivalent atoms:
Tl1 0.000 0.000 0.500 x3
Tc1 0.000 0.000 0.000 x1
N1 0.500 0.500 0.500 x1

Material: TlTc2N
Method: DFT, PBE
State: relaxed

The calculation puts the energy above the most stable polymorph in this dataset at 17 meV/atom. The calculation puts the formation energy from raw total energies at 187 kJ/mol of formula units. The density comes out at 10.8 Mg/m³.

abc: 6.468 6.468 6.081
angles: 90.00 90.00 90.00
Space group I-42d (No. 122)
One atom of each set of equivalent atoms:
Tl1 0.000 0.000 0.000 x4
Tc1 0.128 0.750 0.625 x8
N1 0.000 0.000 0.500 x4

Material: TlTc3N
Method: DFT, PBE
State: relaxed

The calculation puts the energy above the most stable polymorph in this dataset at 0 meV/atom. The calculation puts the formation energy from raw total energies at 141 kJ/mol of formula units. The density comes out at 11.9 Mg/m³.

abc: 4.155 4.155 4.155
angles: 90.00 90.00 90.00
Space group Pm-3m (No. 221)
One atom of each set of equivalent atoms:
Tl1 0.000 0.000 0.000 x1
Tc1 0.000 0.500 0.500 x3
N1 0.500 0.500 0.500 x1

Material: Tl2TcN4
Method: DFT, PBE
State: relaxed

The calculation puts the formation energy from raw total energies at 682 kJ/mol of formula units. The density comes out at 9.0 Mg/m³.

abc: 3.796 3.796 14.427
angles: 90.00 90.00 90.00
Space group I4/mmm (No. 139)
One atom of each set of equivalent atoms:
Tl1 0.000 0.000 0.167 x4
Tc1 0.000 0.000 0.500 x2
N1 0.000 0.000 0.352 x4
N2 0.000 0.500 0.000 x4

Material: Y2TlTcN
Method: DFT, PBE
State: relaxed

The calculation puts the formation energy from raw total energies at -311 kJ/mol of formula units. The density comes out at 8.3 Mg/m³.

abc: 5.011 5.011 3.945
angles: 90.00 90.00 90.00
Space group P4/mmm (No. 123)
One atom of each set of equivalent atoms:
Y1 0.000 0.500 0.000 x2
Tl1 0.000 0.000 0.500 x1
Tc1 0.500 0.500 0.500 x1
N1 0.500 0.500 0.000 x1

Material: Tm2TcN
Method: DFT, PBE
State: relaxed

The calculation puts the formation energy from raw total energies at -104 kJ/mol of formula units. The density comes out at 10.1 Mg/m³.

abc: 3.2448 3.2448 24.2660
angles: 90.00 90.00 120.00
Space group R-3m (No. 166, hexagonal axes)
One atom of each set of equivalent atoms:
Tm1 0.0000 0.0000 0.1104 x6
Tc1 0.0000 0.0000 0.0000 x3
N1 0.0000 0.0000 0.5000 x3

Material: Tm3Tc5N12
Method: DFT, PBE
State: relaxed

The calculation puts the formation energy from raw total energies at -852 kJ/mol of formula units. The density comes out at 7.8 Mg/m³.

abc: 12.587 12.587 12.587
angles: 90.00 90.00 90.00
Space group Ia-3d (No. 230)
One atom of each set of equivalent atoms:
Tm1 0.000 0.250 0.125 x24
Tc1 0.000 0.000 0.000 x16
Tc2 0.000 0.250 0.375 x24
N1 0.032 0.053 0.650 x96

Among the records above, which one has the lowest formation energy from raw total energies?
Tm3Tc5N12

The lowest formation energy from raw total energies belongs to which entry?
Tm3Tc5N12

Which of these has the highest formation energy from raw total energies?
number 5